Material: AgTe2PtCl
Method: DFT, PBE
State: optimized geometry

Structure (CIF):
```
data_AgTe2PtCl
_chemical_formula_sum 'Ag1 Te2 Pt1 Cl1'
_space_group_name_H-M_alt 'P 4/m m m'
_space_group_IT_number 123
_space_group_name_Hall '-P 4 2'
_cell_length_a 5.178
_cell_length_b 5.178
_cell_length_c 5.426
_cell_angle_alpha 90.00
_cell_angle_beta 90.00
_cell_angle_gamma 90.00
loop_
_atom_site_label
_atom_site_type_symbol
_atom_site_fract_x
_atom_site_fract_y
_atom_site_fract_z
Ag1 Ag 0.000 0.000 0.000
Te1 Te 0.000 0.500 0.500
Pt1 Pt 0.000 0.000 0.500
Cl1 Cl 0.500 0.500 0.000
```

Properties
E_tot ... -15.68 eV per cell
Crystal system ... tetragonal
Formation energy without anion corrections ... 0.268 eV/atom